Record 1
A geometry-optimized ZnW5 structure. Source: Alexandria via LeMat-Bulk, functional PBE.

The space group is P4/mmm (No. 123) and the conventional cell measures 2.6803, 2.6803 and 13.4607 Å, with angles of 90.00, 90.00 and 90.00 degrees. Symmetry generates all atoms from Zn at (0.0000, 0.0000, 0.0000), W at (0.0000, 0.0000, 0.3295), W at (0.5000, 0.5000, 0.1574) and W at (0.5000, 0.5000, 0.5000).

For the density of states at the Fermi level, the calculation gives 2.21 states/eV/f.u. The formation energy is 0.3596 eV/atom.


Record 2
A geometry-optimized Ca2BiO2 structure. Source: Alexandria via LeMat-Bulk, functional PBE.

The space group is P4/mbm (No. 127) and the conventional cell measures 8.3045, 8.3045 and 3.1372 Å, with angles of 90.00, 90.00 and 90.00 degrees. Symmetry generates all atoms from Ca at (0.1170, 0.3830, 0.0000), Bi at (0.0000, 0.0000, 0.0000) and O at (0.0965, 0.5965, 0.5000).

The uncorrected formation energy is -1.254 eV/atom. For the density of states at the Fermi level, the calculation gives 4.32 states/eV/f.u.


Record 3
A geometry-optimized CoWN3 structure. Source: Alexandria via LeMat-Bulk, functional PBE.

The space group is Pm-3m (No. 221) and the conventional cell measures 3.5789, 3.5789 and 3.5789 Å, with angles of 90.00, 90.00 and 90.00 degrees. Symmetry generates all atoms from Co at (0.0000, 0.0000, 0.0000), W at (0.5000, 0.5000, 0.5000) and N at (0.0000, 0.0000, 0.5000).

The uncorrected formation energy is 1.310 eV/atom. For the density of states at the Fermi level, the calculation gives 2.43 states/eV/f.u.


Record 4
A geometry-optimized MgTc2Pt structure. Source: Alexandria via LeMat-Bulk, functional PBE.

The space group is P4mm (No. 99) and the conventional cell measures 2.9438, 2.9438 and 7.2275 Å, with angles of 90.00, 90.00 and 90.00 degrees. Symmetry generates all atoms from Mg at (0.0000, 0.0000, 0.0000), Tc at (0.0000, 0.0000, 0.5222), Tc at (0.5000, 0.5000, 0.7222) and Pt at (0.5000, 0.5000, 0.2439).

For the density of states at the Fermi level, the calculation gives 3.40 states/eV/f.u. The formation energy is -0.1484 eV/atom.


Record 5
A geometry-optimized NbRe3Pb structure. Source: Alexandria via LeMat-Bulk, functional PBE.

The space group is Pm-3m (No. 221) and the conventional cell measures 4.8442, 4.8442 and 4.8442 Å, with angles of 90.00, 90.00 and 90.00 degrees. Symmetry generates all atoms from Nb at (0.0000, 0.0000, 0.0000), Re at (0.0000, 0.5000, 0.5000) and Pb at (0.5000, 0.5000, 0.5000).

For the density of states at the Fermi level, the calculation gives 6.48 states/eV/f.u. The formation energy is 3.0957 eV/atom.


Record 6
A geometry-optimized NpUFeRe structure. Source: Alexandria via LeMat-Bulk, functional PBE.

The space group is F-43m (No. 216) and the conventional cell measures 6.4329, 6.4329 and 6.4329 Å, with angles of 90.00, 90.00 and 90.00 degrees. Symmetry generates all atoms from Np at (0.0000, 0.0000, 0.0000), U at (0.2500, 0.2500, 0.7500), Fe at (0.2500, 0.2500, 0.2500) and Re at (0.0000, 0.0000, 0.5000).

For the density of states at the Fermi level, the calculation gives 7.87 states/eV/f.u. The formation energy is 0.0615 eV/atom.